(1)
The following is a DFT calculation (GGA-PBEsol) of a relaxed structure of ScTl3Os.

Summary:
Space group: Pm-3m (221)
E (eV per atom): -3.577
Formation energy (eV per atom): 1.7654
D(E_F) (states/eV per cell): 6.94

Cell: 5.3428 5.3428 5.3428 Å, 90.00 90.00 90.00°
Last column: magnetic moment on the atom in μB.
Positions (direct):
1 Sc 0.0000 0.0000 0.0000  -0.29
2 Tl 0.0000 0.5000 0.0000  -0.04
3 Tl 0.0000 0.0000 0.5000  -0.04
4 Tl 0.5000 0.0000 0.0000  -0.04
5 Os 0.5000 0.5000 0.5000  2.63

***

(2)
The following is a DFT calculation (GGA-PBEsol) of a relaxed structure of Sc2TlOs.

Summary:
Space group: I-4m2 (119)
E (eV per atom): -7.126
Formation energy (eV per atom): -0.1122
D(E_F) (states/eV per cell): 3.49

Cell: 4.1961 4.1961 5.1306 Å, 114.14 114.14 90.00°
Positions (direct):
1 Os 0.2500 0.7500 0.5000
2 Sc 0.0000 0.0000 0.0000
3 Sc 0.7500 0.2500 0.5000
4 Tl 0.5000 0.5000 0.0000

***

(3)
The following is a DFT calculation (GGA-PBEsol) of a relaxed structure of ScOs3W.

Summary:
Space group: Pm-3m (221)
E (eV per atom): -8.949
Formation energy (eV per atom): 2.4632
D(E_F) (states/eV per cell): 5.01

Cell: 4.4526 4.4526 4.4526 Å, 90.00 90.00 90.00°
Last column: magnetic moment on the atom in μB.
Positions (direct):
1 Sc 0.0000 0.0000 0.0000  0.00
2 Os 0.0000 0.5000 0.0000  -0.04
3 Os 0.0000 0.0000 0.5000  -0.04
4 Os 0.5000 0.0000 0.0000  -0.04
5 W 0.5000 0.5000 0.5000  0.31

***

(4)
The following is a DFT calculation (GGA-PBEsol) of a relaxed structure of ScOs2W.

Summary:
Space group: Imm2 (44)
E (eV per atom): -11.203
Formation energy (eV per atom): 0.0084
D(E_F) (states/eV per cell): 2.90

Cell: 3.0953 4.3871 5.2692 Å, 114.60 107.08 90.00°
Positions (direct):
1 Os 0.9929 0.9929 0.9857
2 Os 0.7511 0.2511 0.5021
3 Sc 0.5003 0.5003 0.0006
4 W 0.2558 0.7558 0.5115

***

(5)
The following is a DFT calculation (GGA-PBEsol) of a relaxed structure of ScOs2W.

Summary:
Space group: Cmmm (65)
E (eV per atom): -11.090
Formation energy (eV per atom): 0.1208
D(E_F) (states/eV per cell): 3.38

Cell: 2.7542 2.7542 8.7618 Å, 90.00 90.00 112.21°
Positions (direct):
1 Os 0.0000 0.0000 0.2458
2 Os 0.0000 0.0000 0.7542
3 Sc 0.5000 0.5000 0.5000
4 W 0.5000 0.5000 0.0000

***

(6)
The following is a DFT calculation (GGA-PBEsol) of a relaxed structure of ScOsW2.

Summary:
Space group: Fm-3m (225)
E (eV per atom): -11.465
Relative energy among the computed polymorphs (meV/atom): 130
Formation energy (eV per atom): 0.1442
D(E_F) (states/eV per cell): 1.51

Cell: 4.4459 4.4459 4.4459 Å, 60.00 60.00 60.00°
Positions (direct):
1 Os 0.0000 0.0000 0.0000
2 Sc 0.5000 0.5000 0.5000
3 W 0.2500 0.2500 0.2500
4 W 0.7500 0.7500 0.7500

***

(7)
The following is a DFT calculation (GGA-PBEsol) of a relaxed structure of ScOs2W.

Summary:
Space group: P4mm (99)
E (eV per atom): -11.118
Formation energy (eV per atom): 0.0926
D(E_F) (states/eV per cell): 1.83

Cell: 2.7507 2.7507 8.4003 Å, 90.00 90.00 90.00°
Positions (direct):
1 Os 0.0000 0.0000 0.0207
2 Os 0.5000 0.5000 0.2247
3 Sc 0.0000 0.0000 0.4868
4 W 0.5000 0.5000 0.7678

***

(8)
The following is a DFT calculation (GGA-PBEsol) of a relaxed structure of ScOsW2.

Summary:
Space group: P4mm (99)
E (eV per atom): -11.595
Relative energy among the computed polymorphs (meV/atom): 0
Formation energy (eV per atom): 0.0145
D(E_F) (states/eV per cell): 2.73

Cell: 3.1477 3.1477 6.4667 Å, 90.00 90.00 90.00°
Positions (direct):
1 Os 0.0000 0.0000 0.4863
2 Sc 0.5000 0.5000 0.7475
3 W 0.0000 0.0000 0.0155
4 W 0.5000 0.5000 0.2506

***

Repeat the fifth record exactly.
The following is a DFT calculation (GGA-PBEsol) of a relaxed structure of ScOs2W.

Summary:
Space group: Cmmm (65)
E (eV per atom): -11.090
Formation energy (eV per atom): 0.1208
D(E_F) (states/eV per cell): 3.38

Cell: 2.7542 2.7542 8.7618 Å, 90.00 90.00 112.21°
Positions (direct):
1 Os 0.0000 0.0000 0.2458
2 Os 0.0000 0.0000 0.7542
3 Sc 0.5000 0.5000 0.5000
4 W 0.5000 0.5000 0.0000